1.
! Tb3Pm2Nd5, optimized geometry, DFT GGA-PBE; values from VASP
&SYSTEM
  ibrav = 0, nat = 20, ntyp = 3
/
ATOMIC_SPECIES
Tb 158.93 Tb.upf
Pm 145.00 Pm.upf
Nd 144.24 Nd.upf
CELL_PARAMETERS angstrom
5.470 -7.564 0.000
5.470 7.564 0.000
-5.443 0.000 8.384
ATOMIC_POSITIONS angstrom
Tb 1.388 7.258 6.288
Tb 1.314 1.870 3.752
Tb -1.407 -1.870 7.944
Tb 6.905 1.870 0.440
Tb 4.183 -1.870 4.632
Tb 4.109 -7.258 2.096
Pm 1.321 1.860 0.471
Pm -1.400 -1.860 4.663
Pm 6.898 1.860 3.721
Pm 4.176 -1.860 7.912
Nd -1.327 1.841 6.434
Nd 1.388 4.104 6.288
Nd 4.109 3.495 2.096
Nd 1.394 -1.841 2.243
Nd 4.109 0.404 2.096
Nd 1.388 -0.404 6.288
Nd 4.103 1.841 6.141
Nd 1.388 -3.495 6.288
Nd 4.109 -4.104 2.096
Nd 6.825 -1.841 1.949
! Total magnetic moment (μB per formula unit): 0.0
! ΔE_f (eV/atom): 0.181
! Distance to the lowest polymorph of the same formula (meV/atom): 0.0
! Total DFT energy (no corrections) (eV per atom): -4.542
! Symmetry: No. 15

2.
! Tb4Pm8Nd3, optimized geometry, DFT GGA-PBE; values from VASP
&SYSTEM
  ibrav = 0, nat = 15, ntyp = 3
/
ATOMIC_SPECIES
Tb 158.93 Tb.upf
Pm 145.00 Pm.upf
Nd 144.24 Nd.upf
CELL_PARAMETERS angstrom
7.031 -6.119 0.000
7.031 6.119 0.000
-3.409 0.000 6.033
ATOMIC_POSITIONS angstrom
Tb 0.000 0.000 0.000
Tb -1.704 0.000 3.017
Tb 3.515 3.059 0.000
Tb 3.515 -3.059 0.000
Pm 2.645 0.000 1.475
Pm 5.326 3.090 3.017
Pm 1.445 0.000 4.794
Pm 7.031 2.496 0.000
Pm 7.031 -2.496 0.000
Pm 9.208 0.000 1.239
Pm 5.326 -3.090 3.017
Pm 8.008 0.000 4.559
Nd 1.811 3.059 3.017
Nd 1.811 -3.059 3.017
Nd 5.326 0.000 3.017
! Total magnetic moment (μB per formula unit): 0.0
! ΔE_f (eV/atom): 0.328
! Total DFT energy (no corrections) (eV per atom): -4.394
! Symmetry: No. 12

3.
! Tb2Pm5Nd3, optimized geometry, DFT GGA-PBE; values from VASP
&SYSTEM
  ibrav = 0, nat = 20, ntyp = 3
/
ATOMIC_SPECIES
Tb 158.93 Tb.upf
Pm 145.00 Pm.upf
Nd 144.24 Nd.upf
CELL_PARAMETERS angstrom
5.462 -7.588 0.000
5.462 7.588 0.000
-5.436 0.000 8.363
ATOMIC_POSITIONS angstrom
Tb 1.425 1.877 0.435
Tb -1.293 -1.877 4.616
Tb 6.781 1.877 3.747
Tb 4.063 -1.877 7.929
Pm 1.385 7.202 6.273
Pm -1.371 1.871 6.093
Pm 1.385 4.127 6.273
Pm 1.347 -1.871 1.911
Pm 4.103 0.298 2.091
Pm 1.385 -0.298 6.273
Pm 4.141 1.871 6.452
Pm 4.103 -4.127 2.091
Pm 6.860 -1.871 2.271
Pm 4.103 -7.202 2.091
Nd 1.430 1.909 3.731
Nd 4.103 3.479 2.091
Nd -1.288 -1.909 7.913
Nd 6.777 1.909 0.450
Nd 1.385 -3.479 6.273
Nd 4.058 -1.909 4.632
! Total magnetic moment (μB per formula unit): 0.0
! ΔE_f (eV/atom): 0.180
! Total DFT energy (no corrections) (eV per atom): -4.552
! Symmetry: No. 15

4.
! TbPm4Nd5, optimized geometry, DFT GGA-PBE; values from VASP
&SYSTEM
  ibrav = 0, nat = 10, ntyp = 3
/
ATOMIC_SPECIES
Tb 158.93 Tb.upf
Pm 145.00 Pm.upf
Nd 144.24 Nd.upf
CELL_PARAMETERS angstrom
3.655 0.000 0.000
1.818 9.492 0.000
0.018 2.826 9.963
ATOMIC_POSITIONS angstrom
Tb 0.000 0.000 0.000
Pm 1.824 5.986 0.995
Pm 1.839 3.877 7.001
Pm 3.652 8.442 2.962
Pm 3.667 6.333 8.968
Nd 0.009 1.413 4.982
Nd 1.832 7.391 5.977
Nd 1.828 2.446 1.971
Nd 3.664 9.873 7.992
Nd 3.659 4.928 3.986
! Total magnetic moment (μB per formula unit): 0.0
! ΔE_f (eV/atom): 0.014
! Distance to the lowest polymorph of the same formula (meV/atom): 0.0
! Total DFT energy (no corrections) (eV per atom): -4.734
! Symmetry: No. 2

5.
! TbPm5Nd2, optimized geometry, DFT GGA-PBE; values from VASP
&SYSTEM
  ibrav = 0, nat = 16, ntyp = 3
/
ATOMIC_SPECIES
Tb 158.93 Tb.upf
Pm 145.00 Pm.upf
Nd 144.24 Nd.upf
CELL_PARAMETERS angstrom
8.311 -5.081 0.000
8.311 5.081 0.000
-1.197 0.000 6.548
ATOMIC_POSITIONS angstrom
Tb 4.156 2.541 0.000
Tb 3.557 -2.541 3.274
Pm 8.012 4.451 1.637
Pm 2.747 0.869 3.449
Pm 3.346 -0.869 0.176
Pm 6.277 0.918 2.270
Pm 5.678 -0.918 5.543
Pm 9.748 0.918 1.004
Pm 9.149 -0.918 4.278
Pm 12.080 0.869 6.372
Pm 12.679 -0.869 3.098
Pm 7.414 -4.451 4.911
Nd 5.913 2.474 5.675
Nd 8.914 2.474 4.147
Nd 6.512 -2.474 2.401
Nd 9.513 -2.474 0.873
! Total magnetic moment (μB per formula unit): 0.0
! ΔE_f (eV/atom): 0.148
! Distance to the lowest polymorph of the same formula (meV/atom): 133.9
! Total DFT energy (no corrections) (eV per atom): -4.592
! Symmetry: No. 15

6.
! Tb3Pm4Nd5, optimized geometry, DFT GGA-PBE; values from VASP
&SYSTEM
  ibrav = 0, nat = 12, ntyp = 3
/
ATOMIC_SPECIES
Tb 158.93 Tb.upf
Pm 145.00 Pm.upf
Nd 144.24 Nd.upf
CELL_PARAMETERS angstrom
6.307 0.000 0.000
-0.016 7.277 0.000
-0.016 0.000 8.923
ATOMIC_POSITIONS angstrom
Tb 0.000 0.000 0.000
Tb 1.030 5.459 5.949
Tb 5.245 1.818 2.974
Pm 1.030 1.814 5.945
Pm 2.093 3.638 2.982
Pm 4.181 3.638 5.941
Pm 5.244 5.463 2.978
Nd -0.008 3.638 0.000
Nd 2.085 0.002 2.977
Nd 3.117 5.464 8.920
Nd 3.158 1.813 0.003
Nd 4.189 7.275 5.945
! Total magnetic moment (μB per formula unit): 0.0
! ΔE_f (eV/atom): 0.013
! Distance to the lowest polymorph of the same formula (meV/atom): 0.0
! Total DFT energy (no corrections) (eV per atom): -4.715
! Symmetry: No. 2

7.
! Tb4Pm6Nd, optimized geometry, DFT GGA-PBE; values from VASP
&SYSTEM
  ibrav = 0, nat = 11, ntyp = 3
/
ATOMIC_SPECIES
Tb 158.93 Tb.upf
Pm 145.00 Pm.upf
Nd 144.24 Nd.upf
CELL_PARAMETERS angstrom
-3.293 3.293 8.796
3.293 -3.293 8.796
3.293 3.293 -8.796
ATOMIC_POSITIONS angstrom
Tb 2.064 2.064 -3.108
Tb 1.230 -1.230 11.904
Tb 1.230 1.230 5.688
Tb -1.230 1.230 11.904
Pm 3.293 0.000 0.000
Pm 2.114 -2.114 6.438
Pm 1.179 1.179 2.358
Pm 0.000 3.293 0.000
Pm -2.114 2.114 6.438
Pm 2.114 2.114 11.154
Nd 0.000 0.000 8.796
! Total magnetic moment (μB per formula unit): 0.0
! ΔE_f (eV/atom): 0.297
! Distance to the lowest polymorph of the same formula (meV/atom): 0.0
! Total DFT energy (no corrections) (eV per atom): -4.412
! Symmetry: No. 121

8.
! Tb4Pm6Nd, optimized geometry, DFT GGA-PBE; values from VASP
&SYSTEM
  ibrav = 0, nat = 11, ntyp = 3
/
ATOMIC_SPECIES
Tb 158.93 Tb.upf
Pm 145.00 Pm.upf
Nd 144.24 Nd.upf
CELL_PARAMETERS angstrom
-3.811 3.811 6.745
3.811 -3.811 6.745
3.811 3.811 -6.745
ATOMIC_POSITIONS angstrom
Tb 2.550 2.550 -1.070
Tb 1.261 -1.261 7.815
Tb 1.261 1.261 5.675
Tb -1.261 1.261 7.815
Pm 3.811 0.000 0.000
Pm 2.045 -2.045 4.212
Pm 1.766 1.766 2.533
Pm 0.000 3.811 0.000
Pm -2.045 2.045 4.212
Pm 2.045 2.045 9.277
Nd 0.000 0.000 0.000
! Total magnetic moment (μB per formula unit): 0.0
! ΔE_f (eV/atom): 0.368
! Distance to the lowest polymorph of the same formula (meV/atom): 71.6
! Total DFT energy (no corrections) (eV per atom): -4.340
! Symmetry: No. 121

9.
! Tb4Pm3Nd2, optimized geometry, DFT GGA-PBE; values from VASP
&SYSTEM
  ibrav = 0, nat = 9, ntyp = 3
/
ATOMIC_SPECIES
Tb 158.93 Tb.upf
Pm 145.00 Pm.upf
Nd 144.24 Nd.upf
CELL_PARAMETERS angstrom
3.627 0.000 0.000
-1.814 3.141 0.000
0.000 0.000 26.842
ATOMIC_POSITIONS angstrom
Tb 0.000 0.000 0.000
Tb 0.000 0.000 5.815
Tb 0.000 2.094 8.627
Tb 0.000 2.094 14.488
Pm 0.000 0.000 11.559
Pm 0.000 2.094 2.836
Pm 0.000 2.094 20.488
Nd 0.000 0.000 17.391
Nd 0.000 0.000 23.400
! Total magnetic moment (μB per formula unit): 0.0
! ΔE_f (eV/atom): 0.058
! Distance to the lowest polymorph of the same formula (meV/atom): 44.2
! Total DFT energy (no corrections) (eV per atom): -4.643
! Symmetry: No. 156

10.
! Tb3Pm7Nd2, optimized geometry, DFT GGA-PBE; values from VASP
&SYSTEM
  ibrav = 0, nat = 12, ntyp = 3
/
ATOMIC_SPECIES
Tb 158.93 Tb.upf
Pm 145.00 Pm.upf
Nd 144.24 Nd.upf
CELL_PARAMETERS angstrom
2.914 -19.287 0.000
2.914 19.287 0.000
0.000 0.000 3.655
ATOMIC_POSITIONS angstrom
Tb 0.000 0.000 0.000
Tb 2.914 12.141 0.000
Tb 2.914 -12.141 0.000
Pm 2.914 15.790 1.828
Pm 2.914 8.919 1.828
Pm 2.914 2.767 0.000
Pm 2.914 0.000 1.828
Pm 2.914 -2.767 0.000
Pm 2.914 -8.919 1.828
Pm 2.914 -15.790 1.828
Nd 2.914 5.714 1.828
Nd 2.914 -5.714 1.828
! Total magnetic moment (μB per formula unit): 0.0
! ΔE_f (eV/atom): 0.108
! Distance to the lowest polymorph of the same formula (meV/atom): 41.0
! Total DFT energy (no corrections) (eV per atom): -4.615
! Symmetry: No. 65

11.
! Tb3PmNd3, optimized geometry, DFT GGA-PBE; values from VASP
&SYSTEM
  ibrav = 0, nat = 14, ntyp = 3
/
ATOMIC_SPECIES
Tb 158.93 Tb.upf
Pm 145.00 Pm.upf
Nd 144.24 Nd.upf
CELL_PARAMETERS angstrom
9.721 0.000 0.000
-4.861 8.419 0.000
0.000 0.000 5.826
ATOMIC_POSITIONS angstrom
Tb -3.499 6.835 1.457
Tb 0.691 1.971 1.457
Tb 2.052 0.387 4.370
Tb 2.808 8.032 1.457
Tb 4.170 6.448 4.370
Tb 8.360 1.584 4.370
Pm 0.000 5.613 1.457
Pm 4.861 2.806 4.370
Nd -2.092 5.230 4.370
Nd 1.378 3.992 4.370
Nd 4.146 0.803 1.457
Nd 0.715 7.616 4.370
Nd 3.483 4.427 1.457
Nd 6.953 3.189 1.457
! Total magnetic moment (μB per formula unit): 0.0
! ΔE_f (eV/atom): 0.025
! Distance to the lowest polymorph of the same formula (meV/atom): 0.0
! Total DFT energy (no corrections) (eV per atom): -4.681
! Symmetry: No. 176

12.
! Tb4PmNd5, optimized geometry, DFT GGA-PBE; values from VASP
&SYSTEM
  ibrav = 0, nat = 10, ntyp = 3
/
ATOMIC_SPECIES
Tb 158.93 Tb.upf
Pm 145.00 Pm.upf
Nd 144.24 Nd.upf
CELL_PARAMETERS angstrom
9.417 -1.817 0.000
9.417 1.817 0.000
-2.847 0.000 9.866
ATOMIC_POSITIONS angstrom
Tb 1.049 0.000 2.939
Tb 3.089 0.000 8.880
Tb 12.898 0.000 0.986
Tb 14.938 0.000 6.927
Pm 9.417 0.000 0.000
Nd -0.393 0.000 7.920
Nd 4.506 0.000 3.944
Nd 7.993 0.000 4.933
Nd 11.481 0.000 5.922
Nd 16.380 0.000 1.945
! Total magnetic moment (μB per formula unit): 0.0
! ΔE_f (eV/atom): 0.013
! Distance to the lowest polymorph of the same formula (meV/atom): 0.0
! Total DFT energy (no corrections) (eV per atom): -4.698
! Symmetry: No. 12

13.
! Tb7PmNd2, optimized geometry, DFT GGA-PBE; values from VASP
&SYSTEM
  ibrav = 0, nat = 10, ntyp = 3
/
ATOMIC_SPECIES
Tb 158.93 Tb.upf
Pm 145.00 Pm.upf
Nd 144.24 Nd.upf
CELL_PARAMETERS angstrom
5.700 0.000 0.000
-0.006 7.060 0.000
-2.839 -1.759 8.160
ATOMIC_POSITIONS angstrom
Tb 0.000 0.000 0.000
Tb -0.004 5.318 3.425
Tb 0.001 3.553 6.531
Tb 0.007 -0.022 6.580
Tb 2.847 5.323 1.580
Tb 2.853 1.748 1.628
Tb 2.858 -0.017 4.735
Pm -0.003 3.530 0.000
Nd 0.003 1.743 3.477
Nd 2.851 3.558 4.683
! Total magnetic moment (μB per formula unit): 0.0
! ΔE_f (eV/atom): 0.047
! Distance to the lowest polymorph of the same formula (meV/atom): 0.0
! Total DFT energy (no corrections) (eV per atom): -4.623
! Symmetry: No. 2

14.
! Tb5PmNd6, optimized geometry, DFT GGA-PBE; values from VASP
&SYSTEM
  ibrav = 0, nat = 12, ntyp = 3
/
ATOMIC_SPECIES
Tb 158.93 Tb.upf
Pm 145.00 Pm.upf
Nd 144.24 Nd.upf
CELL_PARAMETERS angstrom
3.149 -5.454 0.000
3.149 5.454 0.000
-2.094 0.000 11.778
ATOMIC_POSITIONS angstrom
Tb 0.000 0.000 0.000
Tb 2.102 3.636 5.889
Tb 3.149 1.819 0.000
Tb 3.149 -1.819 0.000
Tb 2.102 -3.636 5.889
Pm 2.102 0.000 5.889
Nd 1.055 1.821 2.934
Nd -0.003 0.000 8.842
Nd 1.055 -1.821 2.934
Nd 3.150 1.821 8.845
Nd 4.207 0.000 2.936
Nd 3.150 -1.821 8.845
! Total magnetic moment (μB per formula unit): 0.0
! ΔE_f (eV/atom): 0.011
! Distance to the lowest polymorph of the same formula (meV/atom): 0.0
! Total DFT energy (no corrections) (eV per atom): -4.698
! Symmetry: No. 12

15.
! TbPm12Nd7, optimized geometry, DFT GGA-PBE; values from VASP
&SYSTEM
  ibrav = 0, nat = 20, ntyp = 3
/
ATOMIC_SPECIES
Tb 158.93 Tb.upf
Pm 145.00 Pm.upf
Nd 144.24 Nd.upf
CELL_PARAMETERS angstrom
-5.796 5.796 5.796
5.796 -5.796 5.796
5.796 5.796 -5.796
ATOMIC_POSITIONS angstrom
Tb 0.000 0.000 0.000
Pm 5.796 2.928 -2.928
Pm 5.796 -2.928 2.928
Pm 2.928 5.796 -2.928
Pm 2.869 2.869 0.000
Pm 2.869 0.000 2.869
Pm 2.928 -2.928 5.796
Pm 0.000 2.869 2.869
Pm 5.796 2.928 2.928
Pm -2.928 5.796 2.928
Pm -2.928 2.928 5.796
Pm 2.928 5.796 2.928
Pm 2.928 2.928 5.796
Nd 2.898 2.898 -2.898
Nd 2.898 -2.898 2.898
Nd 5.796 0.000 0.000
Nd -2.898 2.898 2.898
Nd 0.000 5.796 0.000
Nd 0.000 0.000 5.796
Nd 2.898 2.898 2.898
! Total magnetic moment (μB per formula unit): 0.0
! ΔE_f (eV/atom): 0.599
! Distance to the lowest polymorph of the same formula (meV/atom): 380.2
! Total DFT energy (no corrections) (eV per atom): -4.151
! Symmetry: No. 229

16.
! Tb8PmNd3, optimized geometry, DFT GGA-PBE; values from VASP
&SYSTEM
  ibrav = 0, nat = 12, ntyp = 3
/
ATOMIC_SPECIES
Tb 158.93 Tb.upf
Pm 145.00 Pm.upf
Nd 144.24 Nd.upf
CELL_PARAMETERS angstrom
-4.378 4.378 5.695
4.378 -4.378 5.695
4.378 4.378 -5.695
ATOMIC_POSITIONS angstrom
Tb 3.285 3.285 -2.837
Tb 2.180 -2.180 5.671
Tb 2.198 2.198 0.025
Tb 1.094 1.094 2.858
Tb 1.094 -1.094 8.532
Tb -2.180 2.180 5.671
Tb 2.180 2.180 5.720
Tb -1.094 1.094 8.532
Pm 0.000 0.000 5.695
Nd 0.000 0.000 0.000
Nd 4.378 0.000 2.848
Nd 0.000 4.378 2.848
! Total magnetic moment (μB per formula unit): 0.0
! ΔE_f (eV/atom): 0.606
! Total DFT energy (no corrections) (eV per atom): -4.069
! Symmetry: No. 121

17.
! Tb8Pm3Nd4, optimized geometry, DFT GGA-PBE; values from VASP
&SYSTEM
  ibrav = 0, nat = 15, ntyp = 3
/
ATOMIC_SPECIES
Tb 158.93 Tb.upf
Pm 145.00 Pm.upf
Nd 144.24 Nd.upf
CELL_PARAMETERS angstrom
6.775 -6.455 0.000
6.775 6.455 0.000
-3.448 0.000 5.907
ATOMIC_POSITIONS angstrom
Tb 6.775 4.639 0.000
Tb 1.521 0.000 2.762
Tb -0.269 0.000 5.860
Tb 5.051 3.316 2.953
Tb 5.051 -3.316 2.953
Tb 10.371 0.000 0.047
Tb 8.580 0.000 3.145
Tb 6.775 -4.639 0.000
Pm -1.724 0.000 2.953
Pm 3.387 3.227 0.000
Pm 3.387 -3.227 0.000
Nd 1.663 3.227 2.953
Nd 1.663 -3.227 2.953
Nd 6.775 0.000 0.000
Nd 5.051 0.000 2.953
! Total magnetic moment (μB per formula unit): 0.0
! ΔE_f (eV/atom): 0.352
! Total DFT energy (no corrections) (eV per atom): -4.339
! Symmetry: No. 12

18.
! Tb4PmNd7, optimized geometry, DFT GGA-PBE; values from VASP
&SYSTEM
  ibrav = 0, nat = 12, ntyp = 3
/
ATOMIC_SPECIES
Tb 158.93 Tb.upf
Pm 145.00 Pm.upf
Nd 144.24 Nd.upf
CELL_PARAMETERS angstrom
8.131 -3.020 0.000
8.131 3.020 0.000
-4.201 0.000 8.490
ATOMIC_POSITIONS angstrom
Tb 0.341 0.000 1.677
Tb -0.944 0.000 7.530
Tb 13.005 0.000 0.960
Tb 11.720 0.000 6.813
Pm 6.030 0.000 4.245
Nd -2.100 0.000 4.245
Nd 2.066 0.000 5.252
Nd 3.590 0.000 2.264
Nd 6.535 0.000 0.451
Nd 5.525 0.000 8.039
Nd 8.471 0.000 6.226
Nd 9.995 0.000 3.239
! Total magnetic moment (μB per formula unit): 0.1
! ΔE_f (eV/atom): 0.203
! Distance to the lowest polymorph of the same formula (meV/atom): 198.7
! Total DFT energy (no corrections) (eV per atom): -4.518
! Symmetry: No. 12

19.
! Tb6PmNd, optimized geometry, DFT GGA-PBE; values from VASP
&SYSTEM
  ibrav = 0, nat = 8, ntyp = 3
/
ATOMIC_SPECIES
Tb 158.93 Tb.upf
Pm 145.00 Pm.upf
Nd 144.24 Nd.upf
CELL_PARAMETERS angstrom
5.072 0.000 0.000
0.000 5.072 0.000
0.000 0.000 10.137
ATOMIC_POSITIONS angstrom
Tb 0.000 0.000 0.000
Tb 0.000 0.000 5.068
Tb 0.000 2.536 2.529
Tb 0.000 2.536 7.607
Tb 2.536 0.000 2.529
Tb 2.536 0.000 7.607
Pm 2.536 2.536 0.000
Nd 2.536 2.536 5.068
! Total magnetic moment (μB per formula unit): 0.0
! ΔE_f (eV/atom): 0.018
! Distance to the lowest polymorph of the same formula (meV/atom): 0.0
! Total DFT energy (no corrections) (eV per atom): -4.644
! Symmetry: No. 123